Computed, not measured: Zn4CrRe after structural relaxation at the GGA-PBE level of DFT.

Output
Formation energy from the elements (eV/atom): 0.235

Lattice parameters (Å, degrees): 6.9093 6.9093 6.9093 90.00 90.00 90.00
Space group F-43m (No. 216)
Asymmetric unit:
1 Zn 0.1253 0.1253 0.1253
2 Cr 0.2500 0.2500 0.7500
3 Re 0.0000 0.0000 0.5000

Computed, not measured: PmSm2FeN4 after structural relaxation at the GGA-PBE level of DFT.

Output
Formation energy (no corrections) (eV per atom): -0.983

Lattice parameters (Å, degrees): 3.4534 11.6933 11.8712 90.00 90.00 90.00
Space group Cmcm (No. 63)
Asymmetric unit:
1 Pm 0.0000 0.1239 0.2500
2 Sm 0.0000 0.3676 0.0443
3 Fe 0.0000 0.1563 0.7500
4 N 0.0000 0.0000 0.0000
5 N 0.0000 0.2697 0.6347
6 N 0.0000 0.4051 0.2500

Computed, not measured: DyPu3Hf2N6 after structural relaxation at the GGA-PBE level of DFT.

Output
Formation energy (no corrections) (eV per atom): -1.531

Lattice parameters (Å, degrees): 5.8508 10.1219 5.8886 90.00 109.29 90.00
Space group C2/m (No. 12)
Asymmetric unit:
1 Dy 0.0000 0.0000 0.0000
2 Pu 0.0000 0.1647 0.5000
3 Pu 0.0000 0.5000 0.5000
4 Hf 0.0000 0.3332 0.0000
5 N 0.2257 0.5000 0.2292
6 N 0.2472 0.3250 0.7671

Computed, not measured: PdAuF after structural relaxation at the GGA-PBE level of DFT.

Output
Formation energy (no corrections) (eV per atom): -0.383
Relative energy among the computed polymorphs (meV/atom): 0.0

Lattice parameters (Å, degrees): 12.1625 3.1135 4.8701 90.00 90.00 90.00
Space group Amm2 (No. 38)
Asymmetric unit:
1 Pd 0.1807 0.0000 0.0000
2 Au 0.0000 0.0000 0.5012
3 Au 0.5000 0.0000 0.4984
4 F 0.3281 0.0000 0.4985

Number 1: V 82.5 Å³/f.u., magnetic moment 5.73 μB per cell, calculated density 10065 kg/m³. Number 2: V 119.8 Å³/f.u., magnetic moment 0.00 μB per cell, calculated density 7726 kg/m³. Number 3: V 164.6 Å³/f.u., magnetic moment 29.50 μB per cell, calculated density 13475 kg/m³. Number 4: V 46.1 Å³/f.u., magnetic moment 0.00 μB per cell, calculated density 11611 kg/m³.